RbPu2PbBr8: relaxed, PBE.

- Fermi-level density of states: 30.43 states/eV/f.u.
- Energy relative to the elements, uncorrected: -1397 meV/atom
- Calculated total energy: -63.5 eV per cell

Lattice parameters (Å, degrees): 7.0207 9.1391 7.3532 90.00 91.20 90.00
Last column: nearest neighbours and their distance in Å.
Space group P2/m (No. 10)
One atom of each set of equivalent atoms:
1 Rb 0.0000 0.0000 0.0000 (multiplicity 1)  6 Br 3.33-3.40
2 Pu 0.5000 0.2526 0.5000 (multiplicity 2)  6 Br 2.92-3.02
3 Pb 0.0000 0.5000 0.0000 (multiplicity 1)  6 Br 3.03-3.21
4 Br 0.2631 0.2727 0.1697 (multiplicity 4)  1 Pu 2.92, 1 Pb 3.03
5 Br 0.2652 0.5000 0.6494 (multiplicity 2)  2 Pu 3.02, 1 Pb 3.21
6 Br 0.2729 0.0000 0.6234 (multiplicity 2)  2 Pu 2.96

---

PuTl2PbBr8: relaxed, PBE.

- Fermi-level density of states: 4.81 states/eV/f.u.
- Energy relative to the elements, uncorrected: -1045 meV/atom
- Calculated total energy: -48.7 eV per cell

Lattice parameters (Å, degrees): 7.1060 7.6139 8.9961 89.97 89.96 88.21
Last column: nearest neighbours and their distance in Å.
Space group P-1 (No. 2)
One atom of each set of equivalent atoms:
1 Pu 0.0000 0.0000 0.0000 (multiplicity 1)  6 Br 2.73-2.81
2 Tl 0.5001 0.5000 0.2529 (multiplicity 2)  6 Br 3.13-3.48
3 Pb 0.0000 0.0000 0.5000 (multiplicity 1)  6 Br 2.99-3.11
4 Br 0.1996 0.6885 0.0002 (multiplicity 2)  1 Pu 2.73
5 Br 0.2299 0.1273 0.2276 (multiplicity 2)  1 Pu 2.81, 1 Pb 3.11
6 Br 0.2300 0.1271 0.7720 (multiplicity 2)  1 Pu 2.81, 1 Pb 3.11
7 Br 0.2439 0.6723 0.5000 (multiplicity 2)  1 Pb 2.99, 2 Tl 3.13

---

PuTl2PbBr6: relaxed, PBE.

- Fermi-level density of states: 18.67 states/eV/f.u.
- Energy relative to the elements, uncorrected: -1042 meV/atom
- Calculated total energy: -86.5 eV per cell

Lattice parameters (Å, degrees): 7.7410 8.4333 13.6033 90.00 123.48 90.00
Last column: nearest neighbours and their distance in Å.
Space group P2_1/c (No. 14)
One atom of each set of equivalent atoms:
1 Pu 0.0000 0.0000 0.0000 (multiplicity 2)  6 Br 2.97-2.98
2 Tl 0.2895 0.0868 0.7541 (multiplicity 4)  6 Br 3.32-3.61
3 Pb 0.5000 0.0000 0.5000 (multiplicity 2)  6 Br 3.08-3.09
4 Br 0.1180 0.0394 0.2467 (multiplicity 4)  1 Pu 2.97, 1 Pb 3.08, 1 Tl 3.32
5 Br 0.2405 0.6996 0.0636 (multiplicity 4)  1 Pu 2.98, 1 Pb 3.09
6 Br 0.3713 0.1850 0.0583 (multiplicity 4)  1 Pu 2.97, 1 Pb 3.09

---

PuTlPb2Br8: relaxed, PBE.

- Fermi-level density of states: 9.96 states/eV/f.u.
- Energy relative to the elements, uncorrected: -1088 meV/atom
- Calculated total energy: -50.6 eV per cell

Lattice parameters (Å, degrees): 6.9858 9.2446 7.2456 90.00 90.77 90.00
Last column: nearest neighbours and their distance in Å.
Space group P2/m (No. 10)
One atom of each set of equivalent atoms:
1 Pu 0.0000 0.0000 0.0000 (multiplicity 1)  6 Br 2.88-2.92
2 Tl 0.0000 0.5000 0.0000 (multiplicity 1)  6 Br 3.28-3.29
3 Pb 0.5000 0.2519 0.5000 (multiplicity 2)  6 Br 2.97-3.21
4 Br 0.2429 0.0000 0.6749 (multiplicity 2)  1 Pu 2.92, 2 Pb 3.21
5 Br 0.2461 0.2199 0.1530 (multiplicity 4)  1 Pu 2.88, 1 Pb 3.07
6 Br 0.2681 0.5000 0.6323 (multiplicity 2)  2 Pb 2.97, 1 Tl 3.28

---

Rb2Pb2Br5: relaxed, PBE.

- Fermi-level density of states: 3.43 states/eV/f.u.
- Energy relative to the elements, uncorrected: -1097 meV/atom
- Calculated total energy: -55.2 eV per cell

Lattice parameters (Å, degrees): 16.9778 6.2714 7.3437 90.00 112.53 90.00
Last column: nearest neighbours and their distance in Å.
Space group C2/m (No. 12)
One atom of each set of equivalent atoms:
1 Rb 0.1015 0.0000 0.3281 (multiplicity 4)  8 Br 3.52-3.93
2 Pb 0.1684 0.5000 0.9249 (multiplicity 4)  2 Br 2.84-3.11
3 Br 0.0000 0.5000 0.0000 (multiplicity 2)  2 Pb 3.11
4 Br 0.1256 0.0000 0.8540 (multiplicity 4)  3 Pb 3.22-3.24, 1 Rb 3.56
5 Br 0.1764 0.5000 0.5456 (multiplicity 4)  1 Pb 2.84

---

Rb2PbBr: relaxed, PBE.

- Fermi-level density of states: 3.50 states/eV/f.u.
- Energy relative to the elements, uncorrected: -508 meV/atom
- Calculated total energy: -37.4 eV per cell
- Energy above the most stable polymorph in this dataset: 0 meV/atom

Lattice parameters (Å, degrees): 9.7968 9.7968 7.8748 90.00 90.00 90.00
Last column: nearest neighbours and their distance in Å.
Space group I-42d (No. 122)
One atom of each set of equivalent atoms:
1 Rb 0.2027 0.2500 0.1250 (multiplicity 8)  2 Br 3.30
2 Pb 0.0000 0.0000 0.5000 (multiplicity 4)  8 Rb 3.93-4.32, 2 Br 3.94
3 Br 0.0000 0.0000 0.0000 (multiplicity 4)  4 Rb 3.30